# CrSnO2

A relaxed structure of CrSnO2 (PBE+U, Alexandria).

Geometry as POSCAR:
```
CrSnO2
1.0
3.7859 0.1818 0.2096
2.0218 3.5372 -0.0029
-3.0326 -0.6045 9.6363
Cr Sn O
2 2 4
Direct
0.7901 0.6488 0.3818
0.6507 0.3184 0.5820
0.4474 0.1942 0.1303
0.9931 0.7729 0.8335
0.7900 0.5479 0.1801
0.6507 0.4192 0.7838
0.6510 0.2121 0.3694
0.7898 0.7551 0.5945
```

V, Å³ per atom: 15.9
Relative energy among the computed polymorphs, eV/atom: 0.210